PBE Dy3Cd2Rh3, optimized geometry; energy of formation = -0.609 eV/atom; magnetization = 0.0 μB/f.u.
1.0
8.276 0.000 0.000
-4.138 7.167 0.000
0.000 0.000 5.764
Dy Cd Rh
6 4 6
Direct
0.000 0.276 0.250
0.000 0.724 0.750
0.276 0.000 0.250
0.276 0.276 0.750
0.724 0.000 0.750
0.724 0.724 0.250
0.333 0.667 0.000
0.333 0.667 0.500
0.667 0.333 0.000
0.667 0.333 0.500
0.000 0.382 0.750
0.000 0.618 0.250
0.382 0.000 0.750
0.382 0.382 0.250
0.618 0.000 0.250
0.618 0.618 0.750